Here is a relaxed structure of La3AlVS7 from Alexandria. Energies are from PBEsol. Values from VASP.

Computed properties:
Total magnetization = 2.22 μB per formula unit
Raw formation energy = -1.809 eV per atom

Cell and atoms, written as Quantum ESPRESSO input:
```
&SYSTEM
  ibrav = 0, nat = 24, ntyp = 4
/
ATOMIC_SPECIES
La 138.91 La.upf
Al 26.98 Al.upf
V 50.94 V.upf
S 32.06 S.upf
CELL_PARAMETERS angstrom
10.0500 0.0000 0.0000
-5.0250 8.7035 0.0000
0.0000 0.0000 5.9654
ATOMIC_POSITIONS crystal
La 0.1446 0.3739 0.0000
La 0.2293 0.8554 0.0000
La 0.3739 0.2293 0.5000
La 0.6261 0.7707 0.0000
La 0.7707 0.1446 0.5000
La 0.8554 0.6261 0.5000
Al 0.3333 0.6667 0.4210
Al 0.6667 0.3333 0.9210
V 0.0000 0.0000 0.3080
V 0.0000 0.0000 0.8080
S 0.0878 0.2241 0.5584
S 0.0965 0.5782 0.2784
S 0.1363 0.9122 0.5584
S 0.2241 0.1363 0.0584
S 0.3333 0.6667 0.7914
S 0.4218 0.5183 0.2784
S 0.4817 0.9035 0.2784
S 0.5183 0.0965 0.7784
S 0.5782 0.4817 0.7784
S 0.6667 0.3333 0.2914
S 0.7759 0.8637 0.5584
S 0.8637 0.0878 0.0584
S 0.9035 0.4218 0.7784
S 0.9122 0.7759 0.0584
```